Record 1
Computed, not measured: crystalline LaYHo2Se6 at its relaxed geometry at the PBE level of DFT.

Cell: 7.3082 7.3082 19.4510 Å, 90.00 90.00 120.00°
Space group R3 (No. 146, hexagonal axes)
Asymmetric unit:
La: 0.0000 0.0000 0.0000 x3
Y: 0.0000 0.0000 0.4922 x3
Ho: 0.0000 0.0000 0.2937 x3
Ho: 0.0000 0.0000 0.7982 x3
Se: 0.0058 0.3103 0.8919 x9
Se: 0.0233 0.6371 0.0587 x9

DFT total energy	-6.03	eV/atom
DOS(E_F)	0.000	states/eV per atom
crystal system	trigonal
volume	29.990	Å³ per atom
E_form (uncorrected)	-1882	meV/atom

---

Record 2
Computed, not measured: crystalline Ba2Li2Tl3 at its relaxed geometry at the PBE level of DFT.

Cell: 4.656 22.518 8.839 Å, 90.00 90.00 90.00°
Space group Cmcm (No. 63)
Asymmetric unit:
Ba: 0.000 0.060 0.250 x4
Ba: 0.000 0.160 0.750 x4
Li: 0.000 0.309 0.560 x8
Tl: 0.000 0.222 0.250 x4
Tl: 0.000 0.437 0.069 x8

DFT total energy	-2.37	eV/atom
DOS(E_F)	0.908	states/eV per atom
crystal system	orthorhombic
energy relative to the elements	-0.26	eV/atom
volume	33.095	Å³ per atom

---

Record 3
Computed, not measured: crystalline TaHPdRh2 at its relaxed geometry at the PBE level of DFT.

Cell: 4.016 4.016 3.884 Å, 90.00 90.00 90.00°
Space group P4/mmm (No. 123)
Asymmetric unit:
Ta: 0.000 0.000 0.000 x1
H: 0.500 0.500 0.500 x1
Pd: 0.500 0.500 0.000 x1
Rh: 0.000 0.500 0.500 x2

DFT total energy	-7.42	eV/atom
distance to the lowest polymorph of the same formula	0	meV/atom
DOS(E_F)	0.155	states/eV per atom
crystal system	tetragonal
volume	12.528	Å³ per atom

---

Record 4
Computed, not measured: crystalline TbNd2SmSe6 at its relaxed geometry at the PBE level of DFT.

Cell: 7.4045 7.4045 19.7302 Å, 90.00 90.00 120.00°
Space group R3 (No. 146, hexagonal axes)
Asymmetric unit:
Tb: 0.0000 0.0000 0.0000 x3
Nd: 0.0000 0.0000 0.3006 x3
Nd: 0.0000 0.0000 0.7993 x3
Sm: 0.0000 0.0000 0.5016 x3
Se: 0.0378 0.3566 0.0696 x9
Se: 0.0392 0.6753 0.5701 x9

DFT total energy	-5.82	eV/atom
DOS(E_F)	0.000	states/eV per atom
crystal system	trigonal
volume	31.228	Å³ per atom
E_form (uncorrected)	-1844	meV/atom

---

Record 5
Computed, not measured: crystalline NaNbS6 at its relaxed geometry at the PBE level of DFT.

Cell: 7.657 13.053 7.269 Å, 90.00 97.55 90.00°
Space group Cc (No. 9)
Asymmetric unit:
Na: 0.000 0.170 0.000 x4
Nb: 0.011 0.486 0.250 x4
S: 0.108 0.366 0.518 x4
S: 0.160 0.392 0.005 x4
S: 0.263 0.025 0.464 x4
S: 0.315 0.137 0.279 x4
S: 0.333 0.469 0.197 x4
S: 0.409 0.193 0.827 x4

DFT total energy	-5.16	eV/atom
distance to the lowest polymorph of the same formula	0	meV/atom
DOS(E_F)	0.000	states/eV per atom
crystal system	monoclinic
volume	22.508	Å³ per atom
E_form (uncorrected)	-641	meV/atom

---

Record 6
Computed, not measured: crystalline LaTl4As2 at its relaxed geometry at the PBE level of DFT.

Cell: 6.239 6.239 14.620 Å, 90.00 90.00 90.00°
Space group I4/mmm (No. 139)
Asymmetric unit:
La: 0.000 0.000 0.000 x2
Tl: 0.000 0.000 0.227 x4
Tl: 0.000 0.500 0.000 x4
As: 0.000 0.000 0.414 x4

DFT total energy	-3.03	eV/atom
DOS(E_F)	1.011	states/eV per atom
crystal system	tetragonal
energy relative to the elements	0.35	eV/atom
volume	40.650	Å³ per atom

---

Record 7
Computed, not measured: crystalline Zr2AlP at its relaxed geometry at the PBE level of DFT.

Cell: 6.647 6.647 6.647 Å, 90.00 90.00 90.00°
Space group F-43m (No. 216)
Asymmetric unit:
Zr: 0.000 0.000 0.000 x4
Zr: 0.250 0.250 0.250 x4
Al: 0.000 0.000 0.500 x4
P: 0.250 0.250 0.750 x4

DFT total energy	-6.52	eV/atom
distance to the lowest polymorph of the same formula	885	meV/atom
DOS(E_F)	1.071	states/eV per atom
crystal system	cubic
energy relative to the elements	0.04	eV/atom
volume	18.357	Å³ per atom

---

Record 8
Computed, not measured: crystalline BaCrNi at its relaxed geometry at the PBE level of DFT.

Cell: 5.5589 5.5589 8.7613 Å, 90.00 90.00 120.00°
Space group P6_3/mmc (No. 194)
Asymmetric unit:
Ba: 0.3333 0.6667 0.2500 x2
Cr: 0.0000 0.0000 0.2500 x2
Ni: 0.0000 0.0000 0.0000 x2

DFT total energy	-4.61	eV/atom
distance to the lowest polymorph of the same formula	903	meV/atom
DOS(E_F)	1.111	states/eV per atom
crystal system	hexagonal
energy relative to the elements	1.17	eV/atom
volume	39.078	Å³ per atom